{"formula": "H2PbN", "functional": "PBE", "state": "optimized geometry", "lattice_angstrom": [[2.404, -0.854, 2.895], [-1.309, -0.099, 3.629], [-0.322, -3.375, 1.843]], "species": ["Pb", "H", "H", "N"], "frac_coords": [[0.500, 0.500, 0.500], [0.250, 0.250, 0.250], [0.750, 0.750, 0.750], [0.000, 0.000, 0.000]], "de_polymorph_mev_per_atom": 720, "dos_ef_per_ev_cell": 2.33, "rho_g_cm3": 9.1}

***

{"formula": "H3PbN", "functional": "PBE", "state": "optimized geometry", "lattice_angstrom": [[-0.157, -1.506, 3.199], [-0.448, -3.168, -1.514], [3.507, -0.472, -0.050]], "species": ["Pb", "H", "H", "H", "N"], "frac_coords": [[0.500, 0.500, 0.500], [0.000, 0.500, 0.000], [0.000, 0.000, 0.500], [0.500, 0.000, 0.000], [0.000, 0.000, 0.000]], "de_polymorph_mev_per_atom": 1335, "dos_ef_per_ev_cell": 1.45, "rho_g_cm3": 8.4}

***

{"formula": "HPbN3", "functional": "PBE", "state": "optimized geometry", "lattice_angstrom": [[-0.780, -3.450, -0.683], [1.243, 0.384, -3.360], [3.290, -0.963, 1.107]], "species": ["Pb", "H", "N", "N", "N"], "frac_coords": [[0.500, 0.500, 0.500], [0.000, 0.000, 0.000], [0.000, 0.500, 0.000], [0.000, 0.000, 0.500], [0.500, 0.000, 0.000]], "dos_ef_per_ev_cell": 4.66, "rho_g_cm3": 8.9}

***

{"formula": "HPbN2", "functional": "PBE", "state": "optimized geometry", "lattice_angstrom": [[0.000, 2.815, 2.815], [2.815, 0.000, 2.815], [2.815, 2.815, 0.000]], "species": ["Pb", "H", "N", "N"], "frac_coords": [[0.500, 0.500, 0.500], [0.000, 0.000, 0.000], [0.250, 0.250, 0.250], [0.750, 0.750, 0.750]], "de_polymorph_mev_per_atom": 1088, "dos_ef_per_ev_cell": 1.82, "rho_g_cm3": 8.8}

***

{"formula": "HPbN", "functional": "PBE", "state": "optimized geometry", "lattice_angstrom": [[-2.990, -0.239, -4.321], [-3.845, -2.677, 2.809], [-1.592, 3.254, 0.921]], "species": ["Pb", "Pb", "H", "H", "N", "N"], "frac_coords": [[0.659, 0.250, 0.750], [0.341, 0.750, 0.250], [0.792, 0.750, 0.750], [0.208, 0.250, 0.250], [0.403, 0.250, 0.250], [0.597, 0.750, 0.750]], "de_polymorph_mev_per_atom": 0, "rho_g_cm3": 6.9}

***

{"formula": "H2PbN", "functional": "PBE", "state": "optimized geometry", "lattice_angstrom": [[-2.871, -0.478, -0.808], [-0.633, -1.140, -2.725], [-0.921, -5.258, 0.740]], "species": ["Pb", "H", "H", "N"], "frac_coords": [[0.000, 0.000, 0.000], [0.172, 0.172, 0.483], [0.828, 0.828, 0.517], [0.500, 0.500, 0.500]], "de_polymorph_mev_per_atom": 535, "dos_ef_per_ev_cell": 0.16, "rho_g_cm3": 9.2}

***

{"formula": "HPb2N", "functional": "PBE", "state": "optimized geometry", "lattice_angstrom": [[-0.522, -5.630, 0.158], [5.151, -0.413, 2.301], [0.235, -2.696, 5.944]], "species": ["Pb", "Pb", "Pb", "Pb", "H", "H", "N", "N"], "frac_coords": [[0.624, 0.125, 0.250], [0.126, 0.625, 0.250], [0.375, 0.376, 0.750], [0.875, 0.874, 0.750], [0.500, 0.500, 0.000], [0.250, 0.750, 0.500], [0.000, 0.000, 0.000], [0.750, 0.250, 0.500]], "de_polymorph_mev_per_atom": 0, "dos_ef_per_ev_cell": 0.00, "rho_g_cm3": 8.6}

***

{"formula": "HPbN3", "functional": "PBE", "state": "optimized geometry", "lattice_angstrom": [[4.515, 0.000, 0.000], [0.000, 4.515, 0.000], [0.000, 0.000, 4.515]], "species": ["Pb", "H", "N", "N", "N"], "frac_coords": [[0.000, 0.000, 0.000], [0.500, 0.500, 0.500], [0.000, 0.500, 0.000], [0.000, 0.000, 0.500], [0.500, 0.000, 0.000]], "dos_ef_per_ev_cell": 0.91, "rho_g_cm3": 4.5}

***

{"formula": "H2Pb2N", "functional": "PBE", "state": "optimized geometry", "lattice_angstrom": [[3.418, 0.000, 0.000], [0.000, 3.418, 0.000], [1.709, 1.709, 6.188]], "species": ["Pb", "Pb", "H", "H", "N"], "frac_coords": [[0.377, 0.377, 0.245], [0.623, 0.623, 0.755], [0.750, 0.250, 0.500], [0.250, 0.750, 0.500], [0.000, 0.000, 0.000]], "de_polymorph_mev_per_atom": 30, "dos_ef_per_ev_cell": 1.81, "rho_g_cm3": 9.9}

***

{"formula": "H2Pb2N", "functional": "PBE", "state": "optimized geometry", "lattice_angstrom": [[6.556, 0.000, 0.000], [0.000, 6.556, 0.000], [0.000, 0.000, 4.037]], "species": ["Pb", "Pb", "Pb", "Pb", "H", "H", "H", "H", "N", "N"], "frac_coords": [[0.327, 0.827, 0.000], [0.827, 0.673, 0.000], [0.673, 0.173, 0.000], [0.173, 0.327, 0.000], [0.282, 0.782, 0.500], [0.782, 0.718, 0.500], [0.718, 0.218, 0.500], [0.218, 0.282, 0.500], [0.000, 0.000, 0.000], [0.500, 0.500, 0.000]], "de_polymorph_mev_per_atom": 0, "dos_ef_per_ev_cell": 2.27, "rho_g_cm3": 8.2}

***

{"formula": "HPbN2", "functional": "PBE", "state": "optimized geometry", "lattice_angstrom": [[-1.113, 2.755, 5.079], [2.057, 2.787, 4.757], [0.277, 4.927, 3.206]], "species": ["Pb", "H", "N", "N"], "frac_coords": [[0.000, 0.000, 0.000], [0.500, 0.500, 0.500], [0.847, 0.847, 0.847], [0.153, 0.153, 0.153]], "de_polymorph_mev_per_atom": 903, "dos_ef_per_ev_cell": 1.39, "rho_g_cm3": 8.0}

***

{"formula": "H3PbN", "functional": "PBE", "state": "optimized geometry", "lattice_angstrom": [[4.083, 0.000, 0.000], [0.000, 4.083, 0.000], [0.000, 0.000, 4.083]], "species": ["Pb", "H", "H", "H", "N"], "frac_coords": [[0.000, 0.000, 0.000], [0.000, 0.500, 0.000], [0.000, 0.000, 0.500], [0.500, 0.000, 0.000], [0.500, 0.500, 0.500]], "de_polymorph_mev_per_atom": 1561, "dos_ef_per_ev_cell": 0.91, "rho_g_cm3": 5.5}

***

Energy for every record listed, in sequence, given in eV/atom: -3.259, -3.258, -4.002, -3.894, -4.980, -3.443, -4.190, -3.616, -3.638, -3.669, -4.079, -3.032.